1.
Here is a relaxed structure of PrNd2C3 from Alexandria via LeMat-Bulk. Energies are from PBE.

## Properties
ΔE_f (eV per atom): 0.058
D(E_F) (states/eV per cell): 6.78

Structure (POSCAR):
```
PrNd2C3
1.0
-2.990 5.330 3.984
2.990 -5.330 3.984
2.990 5.330 -3.984
Pr Nd C
2 4 6
Direct
0.276 0.026 0.250
0.724 0.974 0.750
0.092 0.666 0.426
0.260 0.334 0.926
0.740 0.666 0.074
0.908 0.334 0.574
0.000 0.000 0.500
0.000 0.112 0.112
0.000 0.500 0.000
0.000 0.888 0.888
0.500 0.112 0.612
0.500 0.888 0.388
```



2.
Here is a relaxed structure of TbSm2Al from Alexandria via LeMat-Bulk. Energies are from PBE.

## Properties
ΔE_f (eV per atom): -0.173
D(E_F) (states/eV per cell): 6.90
Energy above the lowest structure with this stoichiometry (eV/atom): 0.0162

Structure (POSCAR):
```
TbSm2Al
1.0
4.819 0.000 0.000
0.000 4.819 0.000
0.000 0.000 4.841
Tb Sm Al
1 2 1
Direct
0.000 0.000 0.000
0.000 0.500 0.500
0.500 0.000 0.500
0.500 0.500 0.000
```



3.
Here is a relaxed structure of Li6Hg7 from Alexandria via LeMat-Bulk. Energies are from PBE.

## Properties
ΔE_f (eV per atom): -0.193
D(E_F) (states/eV per cell): 4.31

Structure (POSCAR):
```
Li6Hg7
1.0
2.953 1.705 9.678
-2.953 1.705 9.678
0.000 -3.409 9.678
Li Hg
6 7
Direct
0.055 0.055 0.055
0.161 0.161 0.161
0.334 0.334 0.334
0.666 0.666 0.666
0.839 0.839 0.839
0.945 0.945 0.945
0.076 0.582 0.582
0.418 0.418 0.924
0.418 0.924 0.418
0.500 0.500 0.500
0.582 0.076 0.582
0.582 0.582 0.076
0.924 0.418 0.418
```



4.
Here is a relaxed structure of ZnGaSn from Alexandria via LeMat-Bulk. Energies are from PBE.

## Properties
ΔE_f (eV per atom): 0.084
D(E_F) (states/eV per cell): 0.94

Structure (POSCAR):
```
ZnGaSn
1.0
-1.653 1.653 5.745
1.653 -1.653 5.745
1.653 1.653 -5.745
Zn Ga Sn
1 1 1
Direct
0.000 0.000 0.000
0.634 0.634 0.000
0.323 0.323 0.000
```



5.
Here is a relaxed structure of CaZr2Pb from Alexandria via LeMat-Bulk. Energies are from PBE.

## Properties
ΔE_f (eV per atom): 0.006
D(E_F) (states/eV per cell): 3.93

Structure (POSCAR):
```
CaZr2Pb
1.0
-2.230 2.230 5.081
2.230 -2.230 5.081
2.230 2.230 -5.081
Ca Zr Pb
1 2 1
Direct
0.000 0.000 0.000
0.250 0.750 0.500
0.750 0.250 0.500
0.500 0.500 0.000
```



6.
Here is a relaxed structure of PuThTc2 from Alexandria via LeMat-Bulk. Energies are from PBE.

## Properties
ΔE_f (eV per atom): 0.083
D(E_F) (states/eV per cell): 29.31
Energy above the lowest structure with this stoichiometry (eV/atom): 0.0303

Structure (POSCAR):
```
PuThTc2
1.0
8.737 0.000 0.000
0.000 5.877 0.000
-0.111 0.000 6.594
Pu Th Tc
4 4 8
Direct
0.122 0.155 0.312
0.122 0.345 0.812
0.878 0.655 0.188
0.878 0.845 0.688
0.371 0.646 0.176
0.371 0.854 0.676
0.629 0.146 0.324
0.629 0.354 0.824
0.104 0.684 0.452
0.104 0.816 0.952
0.353 0.172 0.043
0.353 0.328 0.543
0.647 0.672 0.457
0.647 0.828 0.957
0.896 0.184 0.048
0.896 0.316 0.548
```



Which of these has the lowest D(E_F)? ZnGaSn